# 1
# MgAsBr2

An optimized crystal structure of MgAsBr2 (GGA-PBEsol, Alexandria via LeMat-Bulk).

Values from the calculation:
**Raw formation energy**: 18 meV/atom
**Relative energy among the computed polymorphs**: 496 meV per atom
**M_tot**: 0.000 μB per cell

Cell lengths 3.4458, 3.4458, 9.7162 Å; angles 79.79, 79.79, 60.00 degrees
Closest atoms and distances in Å follow each position.
Sites, in units of the cell vectors:
As1 0.5000 0.5000 0.5000  6 Br 2.95
Mg1 0.0000 0.0000 0.0000  2 Br 2.58
Br1 0.9097 0.9097 0.2708  1 Mg 2.58
Br2 0.0903 0.0903 0.7292  1 Mg 2.58


# 2
# MgAs2Br

An optimized crystal structure of MgAs2Br (GGA-PBEsol, Alexandria via LeMat-Bulk).

Values from the calculation:
**Raw formation energy**: -439 meV/atom
**Relative energy among the computed polymorphs**: 0 meV per atom
**M_tot**: 0.000 μB per cell

Cell lengths 3.6833, 3.6833, 8.5772 Å; angles 77.60, 77.60, 60.00 degrees
Closest atoms and distances in Å follow each position.
Sites, in units of the cell vectors:
Br1 0.5255 0.5255 0.4234  3 Mg 2.63
Mg1 0.2542 0.2542 0.2374  3 Br 2.63, 3 As 2.88
As1 0.9987 0.9987 0.0039  3 As 2.55
As2 0.7216 0.7216 0.8353  3 As 2.55


# 3
# Mg4AsBr

An optimized crystal structure of Mg4AsBr (GGA-PBEsol, Alexandria via LeMat-Bulk).

Values from the calculation:
**Raw formation energy**: -22 meV/atom
**M_tot**: 0.000 μB per cell

Cell lengths 5.7572, 5.7572, 5.7572 Å; angles 60.00, 60.00, 60.00 degrees
Closest atoms and distances in Å follow each position.
Sites, in units of the cell vectors:
Mg1 0.3764 0.3764 0.3764  6 Mg 2.85-2.91
Mg2 0.8708 0.3764 0.3764  6 Mg 2.85-2.91
Mg3 0.3764 0.8708 0.3764  6 Mg 2.85-2.91
Mg4 0.3764 0.3764 0.8708  6 Mg 2.85-2.91
As1 0.7500 0.7500 0.7500  12 Mg 3.37, 4 Br 3.53
Br1 0.0000 0.0000 0.0000  12 Mg 3.38, 4 As 3.53


# 4
# Mg2AsBr

An optimized crystal structure of Mg2AsBr (GGA-PBEsol, Alexandria via LeMat-Bulk).

Values from the calculation:
**Raw formation energy**: -492 meV/atom
**Relative energy among the computed polymorphs**: 16 meV per atom
**M_tot**: 0.000 μB per cell

Cell lengths 3.4259, 3.4259, 7.2475 Å; angles 90.00, 90.00, 90.00 degrees
Closest atoms and distances in Å follow each position.
Sites, in units of the cell vectors:
Mg1 0.0000 0.0000 0.7898  4 As 2.86, 1 Mg 3.05
Mg2 0.0000 0.0000 0.2102  4 As 2.86, 1 Mg 3.05
As1 0.5000 0.5000 0.0000  8 Mg 2.86
Br1 0.5000 0.5000 0.5000  8 Mg 3.21, 4 Br 3.43